Dy3TlHg5, relaxed, DFT PBE; formation energy = -0.385 eV/atom; theoretical density = 12.6 g cm⁻³
1.0
6.397 0.000 0.000
0.000 8.983 0.000
0.000 -4.492 7.780
Dy Tl Hg
6 2 10
Direct
0.750 0.336 0.336
0.750 0.000 0.664
0.750 0.664 0.000
0.250 0.664 0.664
0.250 0.000 0.336
0.250 0.336 0.000
0.000 0.000 0.000
0.500 0.000 0.000
0.000 0.667 0.333
0.500 0.333 0.667
0.000 0.333 0.667
0.500 0.667 0.333
0.750 0.665 0.665
0.750 0.000 0.335
0.750 0.335 0.000
0.250 0.335 0.335
0.250 0.000 0.665
0.250 0.665 0.000



Dy4TlHg2, relaxed, DFT PBE; formation energy = -0.268 eV/atom; polymorph energy (0 for the lowest one) = 0.0 meV/atom; theoretical density = 10.5 g cm⁻³
1.0
-4.136 -1.107 -2.968
-0.061 -4.351 -2.865
-4.908 -6.023 4.514
Tl Hg Dy
1 2 4
Direct
0.000 0.000 0.000
0.750 0.750 0.750
0.250 0.250 0.250
0.870 0.870 0.389
0.130 0.130 0.611
0.617 0.617 0.148
0.383 0.383 0.852



Dy3TlHg2, relaxed, DFT PBE; formation energy = -0.432 eV/atom; theoretical density = 11.5 g cm⁻³
1.0
3.738 0.000 0.000
0.000 3.738 0.000
0.000 0.000 11.288
Dy Tl Hg
3 1 2
Direct
0.000 0.000 0.000
0.000 0.000 0.675
0.000 0.000 0.325
0.500 0.500 0.500
0.500 0.500 0.838
0.500 0.500 0.162



Dy2TlHg2, relaxed, DFT PBE; formation energy = -0.375 eV/atom; theoretical density = 11.7 g cm⁻³
1.0
-1.629 1.752 3.086
-6.670 1.696 -4.483
-3.352 -7.142 2.285
Dy Tl Hg
4 2 4
Direct
0.500 0.171 0.671
0.500 0.671 0.829
0.500 0.829 0.329
0.500 0.329 0.171
0.000 0.000 0.000
0.000 0.500 0.500
0.000 0.372 0.872
0.000 0.872 0.628
0.000 0.628 0.128
0.000 0.128 0.372



Dy2TlHg4, relaxed, DFT PBE; formation energy = -0.270 eV/atom; polymorph energy (0 for the lowest one) = 0.0 meV/atom; theoretical density = 12.4 g cm⁻³
1.0
5.014 0.000 1.567
2.262 4.475 1.567
0.231 0.142 8.069
Tl Hg Dy
1 4 2
Direct
0.000 0.000 0.000
0.860 0.860 0.421
0.140 0.140 0.579
0.577 0.577 0.270
0.423 0.423 0.730
0.722 0.722 0.835
0.278 0.278 0.165



Dy4Tl2Hg3, relaxed, DFT PBE; formation energy = -0.255 eV/atom; polymorph energy (0 for the lowest one) = 74.9 meV/atom; theoretical density = 10.8 g cm⁻³
1.0
7.181 0.000 0.000
0.000 9.077 0.000
-3.591 0.000 7.811
Dy Tl Hg
8 4 6
Direct
0.720 0.750 0.940
0.780 0.250 0.060
0.280 0.250 0.060
0.220 0.750 0.940
0.189 0.966 0.379
0.811 0.034 0.621
0.311 0.466 0.621
0.689 0.534 0.379
0.110 0.563 0.221
0.890 0.437 0.779
0.390 0.063 0.779
0.610 0.937 0.221
0.000 0.000 0.000
0.500 0.500 0.000
0.527 0.750 0.554
0.973 0.250 0.446
0.473 0.250 0.446
0.027 0.750 0.554



| no. | total magnetization (μB/atom) |
| --- | --- |
| 1 | 0.00 |
| 2 | 0.00 |
| 3 | 0.00 |
| 4 | 0.00 |
| 5 | 0.00 |
| 6 | 0.00 |